BaPu2I6 | PBE | relaxed

For the uncorrected formation energy, the calculation gives -1226 meV/atom. The crystal system is monoclinic.

The structure belongs to space group C2/c (No. 15); the cell edges are 17.666, 11.645 and 7.678 Å and the angles 90.00°, 109.03° and 90.00°. The distinct sites, in fractional coordinates, are Ba at (0.000, 0.190, 0.250), Pu at (0.236, 0.476, 0.928), I at (0.100, 0.404, 0.564), I at (0.110, 0.055, 0.690) and I at (0.183, 0.273, 0.171).